1.
Density functional theory data (PBE) for Ho3Tm12Th after structural relaxation.

The structure in extended XYZ format:
```
16
Lattice="-4.9290 -0.3981 -0.3220 0.2829 -4.7151 1.4982 -1.7038 5.8765 18.8160" Properties=species:S:1:pos:R:3 pbc="T T T"
Tm -3.9560 4.9454 16.3109
Tm -0.9235 1.3155 12.5099
Th 0.0000 0.0000 0.0000
Tm -3.5294 3.4740 11.5998
Tm -2.7514 -1.0792 5.3184
Tm -1.3501 2.7869 17.2210
Ho -0.8519 2.9383 9.4080
Tm -3.1033 2.0044 6.8943
Ho -0.4257 1.4684 4.7017
Tm -0.4974 -0.1541 7.8044
Tm -0.0708 -1.6254 3.0932
Tm -3.1749 0.3817 9.9961
Tm -2.6767 0.5331 2.1831
Ho -1.2781 4.4081 14.1143
Tm -3.5985 1.8426 14.6739
Tm -2.3230 -2.5566 0.5881
```

The value obtained for the total magnetic moment is 0.00 Bohr magnetons per cell. For the formation energy, the calculation gives 0.45 eV per formula unit.

=====

2.
Density functional theory data (PBE) for Zn2AgCl after structural relaxation.

The structure in extended XYZ format:
```
4
Lattice="-2.7257 -1.1567 -1.2870 2.7168 -1.6795 -0.4716 -1.4565 -4.3094 6.9577" Properties=species:S:1:pos:R:3 pbc="T T T"
Ag -0.6983 -2.0661 3.3358
Zn -1.4555 -4.3066 6.9531
Cl -1.1491 -4.8050 4.5889
Zn -0.3472 -2.4321 0.7578
```

As for the uncorrected formation energy: -0.0886 eV/atom. The value obtained for the total magnetic moment is 0.00 Bohr magnetons per cell. The value obtained for the polymorph energy (0 for the lowest one) is 32.5 kJ/mol of formula units.